1.
Below is a PBEsol-optimized structure of LiNiP, with properties calculated at the meta-GGA SCAN level.

Calculated values
The total energy comes out at -10.063 eV per atom. As for the volume: 72.92 Å³/cell. Its formation energy is -0.409 eV per atom.

abc: 2.960 2.960 8.323
angles: 90.00 90.00 90.00
Space group I4mm (No. 107)
Unique sites:
Li 0.000 0.000 0.000
Ni 0.000 0.000 0.703
P 0.000 0.000 0.307

2.
Below is a PBEsol-optimized structure of LiNiP, with properties calculated at the meta-GGA SCAN level.

Calculated values
The total energy comes out at -10.289 eV per atom. As for the volume: 77.46 Å³/cell. Its formation energy is -0.636 eV per atom.

abc: 3.645 3.645 5.830
angles: 90.00 90.00 90.00
Space group P4/nmm (No. 129, origin choice 2)
Unique sites:
Li 0.250 0.250 0.161
Ni 0.250 0.750 0.500
P 0.250 0.250 0.724

3.
Below is a PBEsol-optimized structure of Li2Ni12P7, with properties calculated at the meta-GGA SCAN level.

Calculated values
The total energy comes out at -13.532 eV per atom. As for the volume: 239.62 Å³/cell. Its formation energy is -0.596 eV per atom.

abc: 8.9026 8.9026 3.4911
angles: 90.00 90.00 120.00
Space group P-6 (No. 174)
Unique sites:
Li 0.0000 0.0000 0.0000
Li 0.3333 0.6667 0.5000
Ni 0.0420 0.2735 0.5000
Ni 0.1004 0.7162 0.0000
Ni 0.4478 0.2073 0.0000
Ni 0.5083 0.4525 0.5000
P 0.0806 0.4535 0.0000
P 0.2497 0.2093 0.5000
P 0.6667 0.3333 0.5000

4.
Below is a PBEsol-optimized structure of LiNiP2S6, with properties calculated at the meta-GGA SCAN level.

Calculated values
The total energy comes out at -10.235 eV per atom. As for the volume: 372.65 Å³/cell. Its raw formation energy is -522 meV/atom.

abc: 5.757 10.059 6.687
angles: 90.00 105.79 90.00
Space group C2 (No. 5)
Unique sites:
Li 0.000 0.000 0.000
Ni 0.000 0.331 0.000
P 0.057 0.665 0.168
S 0.227 0.330 0.765
S 0.227 0.488 0.243
S 0.238 0.182 0.244

5.
Below is a PBEsol-optimized structure of LiNiPb2, with properties calculated at the meta-GGA SCAN level.

Calculated values
The total energy comes out at -42.431 eV per atom. As for the volume: 155.95 Å³/cell. Its formation energy is 0.101 eV per atom.

abc: 3.974 3.974 9.876
angles: 90.00 90.00 90.00
Space group I-4m2 (No. 119)
Unique sites:
Li 0.000 0.000 0.000
Ni 0.000 0.500 0.250
Pb 0.000 0.000 0.500
Pb 0.000 0.500 0.750

6.
Below is a PBEsol-optimized structure of Li2NiPb, with properties calculated at the meta-GGA SCAN level.

Calculated values
The total energy comes out at -24.324 eV per atom. As for the volume: 123.98 Å³/cell. Its formation energy is -0.141 eV per atom.

abc: 3.795 3.795 8.610
angles: 90.00 90.00 90.00
Space group I4/mmm (No. 139)
Unique sites:
Li 0.000 0.500 0.250
Ni 0.000 0.000 0.000
Pb 0.000 0.000 0.500

Which of these has the highest volume?
LiNiP2S6